# 1
Here is a geometry-optimized CaPa2O7 structure from Alexandria via LeMat-Bulk. Energies are from PBE.

As for the energy relative to the elements, uncorrected: -3.036 eV/atom.

The space group is P-1 (No. 2) and the conventional cell measures 3.8834, 3.8840 and 10.3694 Å, with angles of 88.51, 88.56 and 60.47 degrees. The distinct sites, in fractional coordinates, are Ca at (0.0000, 0.0000, 0.0000), Pa at (0.3478, 0.3501, 0.7064), O at (0.0087, 0.0107, 0.7542), O at (0.3106, 0.3079, 0.3713), O at (0.3374, 0.3384, 0.9028) and O at (0.5000, 0.5000, 0.5000).

***

# 2
Here is a geometry-optimized CrTcNiSe2 structure from Alexandria via LeMat-Bulk. Energies are from PBE.

As for the energy relative to the elements, uncorrected: 0.971 eV/atom.

The space group is P4/mmm (No. 123) and the conventional cell measures 4.6696, 4.6696 and 4.4052 Å, with angles of 90.00, 90.00 and 90.00 degrees. The distinct sites, in fractional coordinates, are Cr at (0.0000, 0.0000, 0.0000), Tc at (0.5000, 0.5000, 0.5000), Ni at (0.0000, 0.0000, 0.5000) and Se at (0.0000, 0.5000, 0.0000).

***

# 3
Here is a geometry-optimized Ti2Pd7Pt structure from Alexandria via LeMat-Bulk. Energies are from PBE.

For the energy of formation, the calculation gives -0.042 eV per atom.

The space group is Cmmm (No. 65) and the conventional cell measures 8.4372, 14.8026 and 2.7926 Å, with angles of 90.00, 90.00 and 90.00 degrees. The distinct sites, in fractional coordinates, are Ti at (0.0000, 0.1720, 0.0000), Pd at (0.0000, 0.0000, 0.0000), Pd at (0.0000, 0.3119, 0.5000), Pd at (0.2370, 0.3995, 0.0000) and Pt at (0.0000, 0.5000, 0.5000).

***

# 4
Here is a geometry-optimized NaMg2IrOs structure from Alexandria via LeMat-Bulk. Energies are from PBE.

For the energy of formation, the calculation gives 0.520 eV per atom.

The space group is P4/mmm (No. 123) and the conventional cell measures 4.9997, 4.9997 and 4.7946 Å, with angles of 90.00, 90.00 and 90.00 degrees. The distinct sites, in fractional coordinates, are Na at (0.0000, 0.0000, 0.0000), Mg at (0.0000, 0.5000, 0.5000), Ir at (0.5000, 0.5000, 0.5000) and Os at (0.5000, 0.5000, 0.0000).